(1)
# SrAl (PBEsol, optimized geometry)
data_SrAl
_chemical_formula_sum 'Sr3 Al3'
_cell_length_a 3.8055
_cell_length_b 3.8055
_cell_length_c 15.2725
_cell_angle_alpha 90.00
_cell_angle_beta 90.00
_cell_angle_gamma 120.00
_symmetry_space_group_name_H-M 'R -3 m'
_symmetry_Int_Tables_number 166
_symmetry_space_group_name_Hall '-R 3 2"'
loop_
_atom_site_label
_atom_site_fract_x
_atom_site_fract_y
_atom_site_fract_z
Sr1 0.0000 0.0000 0.0000
Al1 0.0000 0.0000 0.5000
# DFT formation energy: 0.377 eV per formula unit
# N(E_F): 5.38 states/eV/cell
# Magnetic moment: 0.00 μB/f.u.
# Density: 3.0 g/cm³

(2)
# Sr2Al3 (PBEsol, optimized geometry)
data_Sr2Al3
_chemical_formula_sum 'Sr6 Al9'
_cell_length_a 4.5607
_cell_length_b 4.5607
_cell_length_c 24.8911
_cell_angle_alpha 90.00
_cell_angle_beta 90.00
_cell_angle_gamma 120.00
_symmetry_space_group_name_H-M 'R -3 m'
_symmetry_Int_Tables_number 166
_symmetry_space_group_name_Hall '-R 3 2"'
loop_
_atom_site_label
_atom_site_fract_x
_atom_site_fract_y
_atom_site_fract_z
Sr1 0.0000 0.0000 0.0866
Al1 0.0000 0.0000 0.3396
Al2 0.0000 0.0000 0.5000
# DFT formation energy: -0.103 eV per formula unit
# Excess energy over the best structure of this formula in the dataset: 168 meV per atom
# N(E_F): 10.57 states/eV/cell
# Magnetic moment: 0.00 μB/f.u.
# Density: 2.8 g/cm³

(3)
# SrAl3 (PBEsol, optimized geometry)
data_SrAl3
_chemical_formula_sum 'Sr2 Al6'
_cell_length_a 2.954
_cell_length_b 10.390
_cell_length_c 5.749
_cell_angle_alpha 90.00
_cell_angle_beta 90.00
_cell_angle_gamma 90.00
_symmetry_space_group_name_H-M 'I m m 2'
_symmetry_Int_Tables_number 44
_symmetry_space_group_name_Hall 'I 2 -2'
loop_
_atom_site_label
_atom_site_fract_x
_atom_site_fract_y
_atom_site_fract_z
Sr1 0.000 0.000 0.000
Al1 0.000 0.227 0.380
Al2 0.000 0.500 0.008
# DFT formation energy: 0.606 eV per formula unit
# N(E_F): 3.44 states/eV/cell
# Magnetic moment: 0.00 μB/f.u.
# Density: 3.2 g/cm³

(4)
# Sr2Al3 (PBEsol, optimized geometry)
data_Sr2Al3
_chemical_formula_sum 'Sr16 Al24'
_cell_length_a 10.398
_cell_length_b 16.364
_cell_length_c 6.365
_cell_angle_alpha 90.00
_cell_angle_beta 90.00
_cell_angle_gamma 90.00
_symmetry_space_group_name_H-M 'F d d 2'
_symmetry_Int_Tables_number 43
_symmetry_space_group_name_Hall 'F 2 -2d'
loop_
_atom_site_label
_atom_site_fract_x
_atom_site_fract_y
_atom_site_fract_z
Sr1 0.081 0.200 0.000
Al1 0.000 0.000 0.241
Al2 0.079 0.125 0.502
# DFT formation energy: -0.945 eV per formula unit
# Excess energy over the best structure of this formula in the dataset: 0 meV per atom
# N(E_F): 25.15 states/eV/cell
# Magnetic moment: 0.00 μB/f.u.
# Density: 3.1 g/cm³